# GGA-PBE PtPb2Se, relaxed
data_PtPb2Se
_chemical_formula_sum 'Pt1 Pb2 Se1'
_cell_length_a 6.414
_cell_length_b 6.414
_cell_length_c 6.414
_cell_angle_alpha 141.78
_cell_angle_beta 141.78
_cell_angle_gamma 55.15
_space_group_name_H-M_alt 'P 1'
_space_group_IT_number 1
loop_
_space_group_symop_operation_xyz
'x,y,z'
loop_
_atom_site_label
_atom_site_fract_x
_atom_site_fract_y
_atom_site_fract_z
_atom_site_occupancy
Pb1 0.000 0.000 0.000 1
Pb2 0.250 0.750 0.500 1
Se1 0.750 0.250 0.500 1
Pt1 0.500 0.500 0.000 1
# SG = No. 119
# formation energy (no corrections) = 2.51 kJ/mol of atoms
# crystal system = tetragonal
# electronic total energy = -16.84 eV per formula unit
# DOS(E_F) = 0.309 states/eV/atom

# GGA-PBE PtPbSe2, relaxed
data_PtPbSe2
_chemical_formula_sum 'Pt1 Pb1 Se2'
_cell_length_a 9.125
_cell_length_b 9.125
_cell_length_c 9.125
_cell_angle_alpha 23.59
_cell_angle_beta 23.59
_cell_angle_gamma 23.59
_space_group_name_H-M_alt 'P 1'
_space_group_IT_number 1
loop_
_space_group_symop_operation_xyz
'x,y,z'
loop_
_atom_site_label
_atom_site_fract_x
_atom_site_fract_y
_atom_site_fract_z
_atom_site_occupancy
Se1 0.884 0.884 0.884 1
Se2 0.116 0.116 0.116 1
Pt1 0.500 0.500 0.500 1
Pb1 0.000 0.000 0.000 1
# SG = No. 166
# formation energy (no corrections) = -24.58 kJ/mol of atoms
# crystal system = trigonal
# electronic total energy = -17.74 eV per formula unit
# DOS(E_F) = 0.634 states/eV/atom

# GGA-PBE Pt2PbSe, relaxed
data_Pt2PbSe
_chemical_formula_sum 'Pt2 Pb1 Se1'
_cell_length_a 5.476
_cell_length_b 5.476
_cell_length_c 5.476
_cell_angle_alpha 136.40
_cell_angle_beta 136.40
_cell_angle_gamma 63.36
_space_group_name_H-M_alt 'P 1'
_space_group_IT_number 1
loop_
_space_group_symop_operation_xyz
'x,y,z'
loop_
_atom_site_label
_atom_site_fract_x
_atom_site_fract_y
_atom_site_fract_z
_atom_site_occupancy
Pt1 0.250 0.750 0.500 1
Pt2 0.000 0.000 0.000 1
Se1 0.500 0.500 0.000 1
Pb1 0.750 0.250 0.500 1
# SG = No. 119
# formation energy (no corrections) = 15.90 kJ/mol of atoms
# crystal system = tetragonal
# electronic total energy = -18.62 eV per formula unit
# DOS(E_F) = 0.486 states/eV/atom

# GGA-PBE Pt2PbSe, relaxed
data_Pt2PbSe
_chemical_formula_sum 'Pt2 Pb1 Se1'
_cell_length_a 4.632
_cell_length_b 4.728
_cell_length_c 4.168
_cell_angle_alpha 84.27
_cell_angle_beta 90.00
_cell_angle_gamma 90.00
_space_group_name_H-M_alt 'P 1'
_space_group_IT_number 1
loop_
_space_group_symop_operation_xyz
'x,y,z'
loop_
_atom_site_label
_atom_site_fract_x
_atom_site_fract_y
_atom_site_fract_z
_atom_site_occupancy
Pb1 0.500 0.839 0.771 1
Pt1 0.000 0.945 0.166 1
Pt2 0.500 0.279 0.218 1
Se1 0.000 0.437 0.345 1
# SG = No. 6
# formation energy (no corrections) = -14.87 kJ/mol of atoms
# crystal system = monoclinic
# electronic total energy = -19.89 eV per formula unit
# DOS(E_F) = 0.134 states/eV/atom